# Pm2Cu2NiO6

Pm2Cu2NiO6 after structural relaxation (GGA+U, Alexandria via LeMat-Bulk).

Calculated values
Magnetization (μB per formula unit): 0.04
Uncorrected energy (eV per atom): -6.141
Space-group type: R-3m

a = 5.7242 Å, b = 5.7242 Å, c = 6.0723 Å
α = 61.88°, β = 61.88°, γ = 60.00°
With the nearest neighbours (Å) after each atom.
Atoms (fractional coordinates):
Cu1 0.5844 0.5844 0.2468  3 O 1.84
O1 0.7948 0.2392 0.7268  1 Cu 1.84, 1 Ni 2.02
O2 0.2392 0.2392 0.7268  1 Cu 1.84, 1 Ni 2.02
O3 0.7608 0.7608 0.2732  1 Cu 1.84, 1 Ni 2.02
O4 0.2052 0.7608 0.2732  1 Cu 1.84, 1 Ni 2.02
O5 0.7608 0.2052 0.2732  1 Cu 1.84, 1 Ni 2.02
Pm1 0.2089 0.2089 0.3733  3 O 2.32
O6 0.2392 0.7948 0.7268  1 Cu 1.84, 1 Ni 2.02
Pm2 0.7911 0.7911 0.6267  3 O 2.32
Cu2 0.4156 0.4156 0.7532  3 O 1.84
Ni1 0.0000 0.0000 0.0000  6 O 2.02